1.
Here is a relaxed NdSm5Ho2 crystal from Alexandria via LeMat-Bulk. Energies are from PBE-GGA.

Calculated values
The crystal system is orthorhombic. For the energy relative to the lowest polymorph listed for this composition, the calculation gives 0.000 eV/atom. The energy of formation is 0.015 eV per atom. For the theoretical density, the calculation gives 7668 kg/m³.

Cell and atoms, written as CIF:
```
data_NdSm5Ho2
_cell_length_a 7.220
_cell_length_b 14.441
_cell_length_c 5.092
_cell_angle_alpha 90.00
_cell_angle_beta 90.00
_cell_angle_gamma 90.00
_symmetry_space_group_name_H-M 'P b a m'
_symmetry_Int_Tables_number 55
loop_
_symmetry_equiv_pos_as_xyz
'x,y,z'
'-x,-y,-z'
'-x,-y,z'
'x,y,-z'
'x+1/2,-y+1/2,-z'
'-x+1/2,y+1/2,z'
'-x+1/2,y+1/2,-z'
'x+1/2,-y+1/2,z'
loop_
_atom_site_label
_atom_site_type_symbol
_atom_site_fract_x
_atom_site_fract_y
_atom_site_fract_z
Nd1 Nd 0.000 0.000 0.000
Sm1 Sm 0.000 0.500 0.000
Sm2 Sm 0.001 0.250 0.000
Sm3 Sm 0.249 0.625 0.500
Ho1 Ho 0.249 0.875 0.500
```

---

2.
Here is a relaxed Nd3Sm7Ho crystal from Alexandria via LeMat-Bulk. Energies are from PBE-GGA.

Calculated values
The crystal system is monoclinic. For the energy relative to the lowest polymorph listed for this composition, the calculation gives 0.000 eV/atom. The energy of formation is 0.231 eV per atom. For the theoretical density, the calculation gives 7052 kg/m³.

Cell and atoms, written as CIF:
```
data_Nd3Sm7Ho
_cell_length_a 11.772
_cell_length_b 10.215
_cell_length_c 6.485
_cell_angle_alpha 90.00
_cell_angle_beta 94.75
_cell_angle_gamma 90.00
_symmetry_space_group_name_H-M 'C 1 2/m 1'
_symmetry_Int_Tables_number 12
loop_
_symmetry_equiv_pos_as_xyz
'x,y,z'
'-x,-y,-z'
'-x,y,-z'
'x,-y,z'
'x+1/2,y+1/2,z'
'-x+1/2,-y+1/2,-z'
'-x+1/2,y+1/2,-z'
'x+1/2,-y+1/2,z'
loop_
_atom_site_label
_atom_site_type_symbol
_atom_site_fract_x
_atom_site_fract_y
_atom_site_fract_z
Nd1 Nd 0.000 0.000 0.000
Nd2 Nd 0.000 0.173 0.500
Sm1 Sm 0.000 0.500 0.500
Sm2 Sm 0.240 0.000 0.714
Sm3 Sm 0.243 0.329 0.761
Ho1 Ho 0.000 0.500 0.000
```

---

3.
Here is a relaxed Nd4Sm15Ho crystal from Alexandria via LeMat-Bulk. Energies are from PBE-GGA.

Calculated values
The crystal system is tetragonal. The energy of formation is 0.016 eV per atom. For the theoretical density, the calculation gives 7332 kg/m³.

Cell and atoms, written as CIF:
```
data_Nd4Sm15Ho
_cell_length_a 5.141
_cell_length_b 5.141
_cell_length_c 25.685
_cell_angle_alpha 90.00
_cell_angle_beta 90.00
_cell_angle_gamma 90.00
_symmetry_space_group_name_H-M 'P 4/m m m'
_symmetry_Int_Tables_number 123
_symmetry_space_group_name_Hall '-P 4 2'
loop_
_atom_site_label
_atom_site_type_symbol
_atom_site_fract_x
_atom_site_fract_y
_atom_site_fract_z
Nd1 Nd 0.000 0.000 0.100
Nd2 Nd 0.000 0.000 0.301
Sm1 Sm 0.000 0.500 0.000
Sm2 Sm 0.000 0.500 0.201
Sm3 Sm 0.000 0.500 0.401
Sm4 Sm 0.500 0.500 0.100
Sm5 Sm 0.500 0.500 0.301
Sm6 Sm 0.500 0.500 0.500
Ho1 Ho 0.000 0.000 0.500
```

---

4.
Here is a relaxed NdSm4Ho10 crystal from Alexandria via LeMat-Bulk. Energies are from PBE-GGA.

Calculated values
The crystal system is tetragonal. The energy of formation is 0.757 eV per atom. For the theoretical density, the calculation gives 6947 kg/m³.

Cell and atoms, written as CIF:
```
data_NdSm4Ho10
_cell_length_a 12.150
_cell_length_b 12.150
_cell_length_c 7.756
_cell_angle_alpha 90.00
_cell_angle_beta 90.00
_cell_angle_gamma 90.00
_symmetry_space_group_name_H-M 'I 4/m'
_symmetry_Int_Tables_number 87
_symmetry_space_group_name_Hall '-I 4'
loop_
_atom_site_label
_atom_site_type_symbol
_atom_site_fract_x
_atom_site_fract_y
_atom_site_fract_z
Nd1 Nd 0.000 0.000 0.000
Sm1 Sm 0.101 0.701 0.500
Ho1 Ho 0.000 0.500 0.250
Ho2 Ho 0.100 0.201 0.251
```

---

5.
Here is a relaxed Nd5Sm2Ho2 crystal from Alexandria via LeMat-Bulk. Energies are from PBE-GGA.

Calculated values
The crystal system is orthorhombic. For the energy relative to the lowest polymorph listed for this composition, the calculation gives 0.147 eV/atom. The energy of formation is 0.162 eV per atom. For the theoretical density, the calculation gives 7246 kg/m³.

Cell and atoms, written as CIF:
```
data_Nd5Sm2Ho2
_cell_length_a 15.262
_cell_length_b 12.998
_cell_length_c 6.246
_cell_angle_alpha 90.00
_cell_angle_beta 90.00
_cell_angle_gamma 90.00
_symmetry_space_group_name_H-M 'I m a 2'
_symmetry_Int_Tables_number 46
loop_
_symmetry_equiv_pos_as_xyz
'x,y,z'
'-x,-y,z'
'-x+1/2,y,z'
'x+1/2,-y,z'
'x+1/2,y+1/2,z+1/2'
'-x+1/2,-y+1/2,z+1/2'
'-x,y+1/2,z+1/2'
'x,-y+1/2,z+1/2'
loop_
_atom_site_label
_atom_site_type_symbol
_atom_site_fract_x
_atom_site_fract_y
_atom_site_fract_z
Nd1 Nd 0.048 0.198 0.000
Nd2 Nd 0.144 0.686 0.153
Nd3 Nd 0.250 0.176 0.238
Sm1 Sm 0.000 0.000 0.581
Sm2 Sm 0.250 0.057 0.713
Ho1 Ho 0.136 0.550 0.647
```

---

6.
Here is a relaxed Nd6Sm3Ho crystal from Alexandria via LeMat-Bulk. Energies are from PBE-GGA.

Calculated values
The crystal system is monoclinic. For the energy relative to the lowest polymorph listed for this composition, the calculation gives 0.078 eV/atom. The energy of formation is 0.215 eV per atom. For the theoretical density, the calculation gives 7038 kg/m³.

Cell and atoms, written as CIF:
```
data_Nd6Sm3Ho
_cell_length_a 11.493
_cell_length_b 6.920
_cell_length_c 9.184
_cell_angle_alpha 90.00
_cell_angle_beta 106.88
_cell_angle_gamma 90.00
_symmetry_space_group_name_H-M 'C 1 2/m 1'
_symmetry_Int_Tables_number 12
loop_
_symmetry_equiv_pos_as_xyz
'x,y,z'
'-x,-y,-z'
'-x,y,-z'
'x,-y,z'
'x+1/2,y+1/2,z'
'-x+1/2,-y+1/2,-z'
'-x+1/2,y+1/2,-z'
'x+1/2,-y+1/2,z'
loop_
_atom_site_label
_atom_site_type_symbol
_atom_site_fract_x
_atom_site_fract_y
_atom_site_fract_z
Nd1 Nd 0.124 0.000 0.418
Nd2 Nd 0.189 0.262 0.801
Sm1 Sm 0.000 0.500 0.500
Sm2 Sm 0.075 0.500 0.169
Ho1 Ho 0.000 0.000 0.000
```

---

7.
Here is a relaxed Nd7Sm12Ho crystal from Alexandria via LeMat-Bulk. Energies are from PBE-GGA.

Calculated values
The crystal system is trigonal. For the energy relative to the lowest polymorph listed for this composition, the calculation gives 0.000 eV/atom. The energy of formation is 0.224 eV per atom. For the theoretical density, the calculation gives 7069 kg/m³.

Cell and atoms, written as CIF:
```
data_Nd7Sm12Ho
_cell_length_a 12.2247
_cell_length_b 12.2247
_cell_length_c 16.2208
_cell_angle_alpha 90.00
_cell_angle_beta 90.00
_cell_angle_gamma 120.00
_symmetry_space_group_name_H-M 'R -3'
_symmetry_Int_Tables_number 148
_symmetry_space_group_name_Hall '-R 3'
loop_
_atom_site_label
_atom_site_type_symbol
_atom_site_fract_x
_atom_site_fract_y
_atom_site_fract_z
Nd1 Nd 0.0000 0.0000 0.0000
Nd2 Nd 0.0567 0.8689 0.2917
Sm1 Sm 0.0251 0.5762 0.2223
Sm2 Sm 0.0532 0.4656 0.5818
Ho1 Ho 0.0000 0.0000 0.5000
```

---

8.
Here is a relaxed NdSm4Ho6 crystal from Alexandria via LeMat-Bulk. Energies are from PBE-GGA.

Calculated values
The crystal system is tetragonal. For the energy relative to the lowest polymorph listed for this composition, the calculation gives 0.000 eV/atom. The energy of formation is 0.313 eV per atom. For the theoretical density, the calculation gives 7697 kg/m³.

Cell and atoms, written as CIF:
```
data_NdSm4Ho6
_cell_length_a 6.635
_cell_length_b 6.635
_cell_length_c 17.009
_cell_angle_alpha 90.00
_cell_angle_beta 90.00
_cell_angle_gamma 90.00
_symmetry_space_group_name_H-M 'I -4 2 m'
_symmetry_Int_Tables_number 121
_symmetry_space_group_name_Hall 'I -4 2'
loop_
_atom_site_label
_atom_site_type_symbol
_atom_site_fract_x
_atom_site_fract_y
_atom_site_fract_z
Nd1 Nd 0.000 0.000 0.000
Sm1 Sm 0.189 0.189 0.825
Ho1 Ho 0.000 0.500 0.000
Ho2 Ho 0.178 0.178 0.627
```

---

9.
Here is a relaxed Nd15Sm4Ho crystal from Alexandria via LeMat-Bulk. Energies are from PBE-GGA.

Calculated values
The crystal system is tetragonal. The energy of formation is 0.014 eV per atom. For the theoretical density, the calculation gives 6999 kg/m³.

Cell and atoms, written as CIF:
```
data_Nd15Sm4Ho
_cell_length_a 5.186
_cell_length_b 5.186
_cell_length_c 25.850
_cell_angle_alpha 90.00
_cell_angle_beta 90.00
_cell_angle_gamma 90.00
_symmetry_space_group_name_H-M 'P 4/m m m'
_symmetry_Int_Tables_number 123
_symmetry_space_group_name_Hall '-P 4 2'
loop_
_atom_site_label
_atom_site_type_symbol
_atom_site_fract_x
_atom_site_fract_y
_atom_site_fract_z
Nd1 Nd 0.000 0.000 0.000
Nd2 Nd 0.000 0.000 0.199
Nd3 Nd 0.000 0.000 0.400
Nd4 Nd 0.000 0.500 0.099
Nd5 Nd 0.000 0.500 0.299
Nd6 Nd 0.000 0.500 0.500
Sm1 Sm 0.500 0.500 0.199
Sm2 Sm 0.500 0.500 0.400
Ho1 Ho 0.500 0.500 0.000
```

---

10.
Here is a relaxed NdSm2Ho crystal from Alexandria via LeMat-Bulk. Energies are from PBE-GGA.

Calculated values
The crystal system is tetragonal. For the energy relative to the lowest polymorph listed for this composition, the calculation gives 0.000 eV/atom. The energy of formation is 0.016 eV per atom. For the theoretical density, the calculation gives 7573 kg/m³.

Cell and atoms, written as CIF:
```
data_NdSm2Ho
_cell_length_a 5.122
_cell_length_b 5.122
_cell_length_c 10.196
_cell_angle_alpha 90.00
_cell_angle_beta 90.00
_cell_angle_gamma 90.00
_symmetry_space_group_name_H-M 'I -4 m 2'
_symmetry_Int_Tables_number 119
_symmetry_space_group_name_Hall 'I -4 -2'
loop_
_atom_site_label
_atom_site_type_symbol
_atom_site_fract_x
_atom_site_fract_y
_atom_site_fract_z
Nd1 Nd 0.000 0.000 0.000
Sm1 Sm 0.000 0.000 0.500
Sm2 Sm 0.000 0.500 0.250
Ho1 Ho 0.000 0.500 0.750
```

---

11.
Here is a relaxed Nd5Sm12Ho2 crystal from Alexandria via LeMat-Bulk. Energies are from PBE-GGA.

Calculated values
The crystal system is monoclinic. For the energy relative to the lowest polymorph listed for this composition, the calculation gives 0.000 eV/atom. The energy of formation is 0.129 eV per atom. For the theoretical density, the calculation gives 7278 kg/m³.

Cell and atoms, written as CIF:
```
data_Nd5Sm12Ho2
_cell_length_a 21.997
_cell_length_b 10.778
_cell_length_c 5.688
_cell_angle_alpha 90.00
_cell_angle_beta 104.91
_cell_angle_gamma 90.00
_symmetry_space_group_name_H-M 'C 1 2/m 1'
_symmetry_Int_Tables_number 12
loop_
_symmetry_equiv_pos_as_xyz
'x,y,z'
'-x,-y,-z'
'-x,y,-z'
'x,-y,z'
'x+1/2,y+1/2,z'
'-x+1/2,-y+1/2,-z'
'-x+1/2,y+1/2,-z'
'x+1/2,-y+1/2,z'
loop_
_atom_site_label
_atom_site_type_symbol
_atom_site_fract_x
_atom_site_fract_y
_atom_site_fract_z
Nd1 Nd 0.000 0.000 0.000
Nd2 Nd 0.184 0.000 0.162
Nd3 Nd 0.209 0.500 0.213
Sm1 Sm 0.080 0.500 0.585
Sm2 Sm 0.084 0.294 0.088
Sm3 Sm 0.114 0.000 0.589
Sm4 Sm 0.195 0.273 0.699
Ho1 Ho 0.000 0.215 0.500
```

---

12.
Here is a relaxed NdSm8Ho6 crystal from Alexandria via LeMat-Bulk. Energies are from PBE-GGA.

Calculated values
The crystal system is trigonal. The energy of formation is 0.130 eV per atom. For the theoretical density, the calculation gives 7811 kg/m³.

Cell and atoms, written as CIF:
```
data_NdSm8Ho6
_cell_length_a 9.0920
_cell_length_b 9.0920
_cell_length_c 20.8184
_cell_angle_alpha 90.00
_cell_angle_beta 90.00
_cell_angle_gamma 120.00
_symmetry_space_group_name_H-M 'R -3'
_symmetry_Int_Tables_number 148
_symmetry_space_group_name_Hall '-R 3'
loop_
_atom_site_label
_atom_site_type_symbol
_atom_site_fract_x
_atom_site_fract_y
_atom_site_fract_z
Nd1 Nd 0.0000 0.0000 0.0000
Sm1 Sm 0.0000 0.0000 0.4228
Sm2 Sm 0.0807 0.5251 0.8070
Ho1 Ho 0.0482 0.8053 0.7061
```

---

Number 4 is which compound?
NdSm4Ho10